No. 1
The following is a PBE calculation of a relaxed LiTlSb2 crystal, from the Alexandria database.

Unit cell a=4.7449 b=4.7449 c=9.4157 alpha=90.00 beta=90.00 gamma=90.00
Atoms (fractional coordinates):
Li 0.0000 0.0000 0.0000
Li 0.5000 0.5000 0.5000
Tl 0.0000 0.5000 0.2500
Tl 0.5000 0.0000 0.7500
Sb 0.0000 0.0000 0.5000
Sb 0.0000 0.5000 0.7500
Sb 0.5000 0.0000 0.2500
Sb 0.5000 0.5000 0.0000

- M_tot: 0.000 μB per cell
- Energy above the lowest structure with this stoichiometry: 14.36 kJ/mol of atoms
- V: 26.50 Å³ per atom
- Formation energy from raw total energies: -5 kJ/mol of atoms

No. 2
The following is a PBE calculation of a relaxed LiTlSb crystal, from the Alexandria database.

Unit cell a=5.1080 b=5.1080 c=3.5167 alpha=90.00 beta=90.00 gamma=120.00
Atoms (fractional coordinates):
Li 0.0000 0.0000 0.0000
Tl 0.6667 0.3333 0.5103
Sb 0.3333 0.6667 0.0296

- M_tot: 0.000 μB per cell
- Energy above the lowest structure with this stoichiometry: 6.50 kJ/mol of atoms
- V: 26.49 Å³ per atom
- Formation energy from raw total energies: -18 kJ/mol of atoms

No. 3
The following is a PBE calculation of a relaxed Li8TlSb2 crystal, from the Alexandria database.

Unit cell a=7.5173 b=7.5173 c=7.8293 alpha=121.33 beta=121.33 gamma=35.27
Atoms (fractional coordinates):
Li 0.0012 0.0012 0.3107
Li 0.1521 0.1521 0.1477
Li 0.3403 0.3403 0.5460
Li 0.3426 0.3426 0.1371
Li 0.6574 0.6574 0.8629
Li 0.6597 0.6597 0.4540
Li 0.8479 0.8479 0.8523
Li 0.9988 0.9988 0.6893
Tl 0.5000 0.5000 0.0000
Sb 0.2017 0.2017 0.7030
Sb 0.7983 0.7983 0.2970

- M_tot: 0.000 μB per cell
- V: 19.46 Å³ per atom
- Formation energy from raw total energies: -46 kJ/mol of atoms

No. 4
The following is a PBE calculation of a relaxed LiTlSb crystal, from the Alexandria database.

Unit cell a=6.7023 b=6.7023 c=6.7023 alpha=90.00 beta=90.00 gamma=90.00
Atoms (fractional coordinates):
Li 0.0000 0.0000 0.0000
Li 0.0000 0.5000 0.5000
Li 0.5000 0.0000 0.5000
Li 0.5000 0.5000 0.0000
Tl 0.2500 0.2500 0.7500
Tl 0.2500 0.7500 0.2500
Tl 0.7500 0.2500 0.2500
Tl 0.7500 0.7500 0.7500
Sb 0.2500 0.2500 0.2500
Sb 0.2500 0.7500 0.7500
Sb 0.7500 0.2500 0.7500
Sb 0.7500 0.7500 0.2500

- M_tot: 0.000 μB per cell
- Energy above the lowest structure with this stoichiometry: 8.66 kJ/mol of atoms
- V: 25.09 Å³ per atom
- Formation energy from raw total energies: -16 kJ/mol of atoms

No. 5
The following is a PBE calculation of a relaxed LiTl2Sb crystal, from the Alexandria database.

Unit cell a=11.7711 b=3.4945 c=5.3849 alpha=90.00 beta=98.42 gamma=90.00
Atoms (fractional coordinates):
Li 0.0000 0.0000 0.0000
Li 0.5000 0.5000 0.0000
Tl 0.2427 0.0000 0.7490
Tl 0.2573 0.5000 0.2510
Tl 0.7427 0.5000 0.7490
Tl 0.7573 0.0000 0.2510
Sb 0.0000 0.5000 0.5000
Sb 0.5000 0.0000 0.5000

- M_tot: 0.000 μB per cell
- Energy above the lowest structure with this stoichiometry: 9.20 kJ/mol of atoms
- V: 27.39 Å³ per atom
- Formation energy from raw total energies: -9 kJ/mol of atoms

No. 6
The following is a PBE calculation of a relaxed Li6Tl5Sb crystal, from the Alexandria database.

Unit cell a=8.5481 b=8.5481 c=4.9883 alpha=106.79 beta=106.79 gamma=120.42
Atoms (fractional coordinates):
Li 0.0799 0.4007 0.7393
Li 0.2318 0.2318 0.2324
Li 0.4007 0.0799 0.7393
Li 0.5993 0.9201 0.2607
Li 0.7682 0.7682 0.7676
Li 0.9201 0.5993 0.2607
Tl 0.1763 0.8237 0.0000
Tl 0.3357 0.6643 0.5000
Tl 0.5000 0.5000 0.0000
Tl 0.6643 0.3357 0.5000
Tl 0.8237 0.1763 0.0000
Sb 0.0000 0.0000 0.5000

- M_tot: 0.000 μB per cell
- V: 21.31 Å³ per atom
- Formation energy from raw total energies: -27 kJ/mol of atoms

No. 7
The following is a PBE calculation of a relaxed LiTlSb crystal, from the Alexandria database.

Unit cell a=3.5017 b=3.5017 c=12.6825 alpha=90.00 beta=90.00 gamma=90.00
Atoms (fractional coordinates):
Li 0.0000 0.0000 0.0000
Li 0.5000 0.5000 0.5000
Tl 0.0000 0.0000 0.3092
Tl 0.5000 0.5000 0.8092
Sb 0.0000 0.0000 0.6278
Sb 0.5000 0.5000 0.1278

- M_tot: 0.000 μB per cell
- Energy above the lowest structure with this stoichiometry: 9.91 kJ/mol of atoms
- V: 25.92 Å³ per atom
- Formation energy from raw total energies: -15 kJ/mol of atoms

No. 8
The following is a PBE calculation of a relaxed LiTlSb crystal, from the Alexandria database.

Unit cell a=4.8941 b=5.5498 c=6.5734 alpha=93.78 beta=106.37 gamma=109.03
Atoms (fractional coordinates):
Li 0.1422 0.2210 0.1990
Li 0.8578 0.7790 0.8010
Tl 0.2073 0.3793 0.7094
Tl 0.7927 0.6207 0.2906
Sb 0.5000 0.0000 0.0000
Sb 0.5000 0.0000 0.5000

- M_tot: 0.000 μB per cell
- Energy above the lowest structure with this stoichiometry: 6.29 kJ/mol of atoms
- V: 26.58 Å³ per atom
- Formation energy from raw total energies: -18 kJ/mol of atoms